No. 1
A relaxed Zr3In crystal, computed with GGA-PBE.

DFT formation energy, kJ/mol of formula units: -69

Unit cell a=3.290 b=4.155 c=6.639 alpha=90.00 beta=90.00 gamma=90.00
Fractional coordinates of all 4 atoms:
Zr  0.000  0.000  0.000
Zr  0.500  0.500  0.251
Zr  0.500  0.500  0.749
In  0.000  0.000  0.500

---

No. 2
A relaxed MgZrZn2 crystal, computed with GGA-PBE.

DFT formation energy, kJ/mol of formula units: -1

Unit cell a=9.729 b=9.729 c=9.729 alpha=17.97 beta=17.97 gamma=17.97
Fractional coordinates of all 4 atoms:
Mg  0.000  0.000  0.000
Zr  0.500  0.500  0.500
Zn  0.251  0.251  0.251
Zn  0.749  0.749  0.749

---

No. 3
A relaxed ZnHgAu3 crystal, computed with GGA-PBE.

DFT formation energy, kJ/mol of formula units: 183
ΔE to the lowest computed polymorph, eV per formula unit: 0.00

Unit cell a=4.890 b=4.890 c=4.890 alpha=90.00 beta=90.00 gamma=90.00
Fractional coordinates of all 5 atoms:
Zn  0.000  0.000  0.000
Hg  0.500  0.500  0.500
Au  0.000  0.000  0.500
Au  0.000  0.500  0.000
Au  0.500  0.000  0.000

---

No. 4
A relaxed MnTlTe2I crystal, computed with GGA-PBE.

ΔE to the lowest computed polymorph, eV per formula unit: 0.00

Unit cell a=5.021 b=5.021 c=6.036 alpha=90.00 beta=90.00 gamma=90.00
Fractional coordinates of all 5 atoms:
Mn  0.000  0.000  0.000
Tl  0.500  0.500  0.500
Te  0.000  0.500  0.000
Te  0.500  0.000  0.000
I  0.000  0.000  0.500

---

Number 1: volume 91 Å³ per cell. Number 2: volume 77 Å³ per cell. Number 3: volume 117 Å³ per cell. Number 4: volume 152 Å³ per cell.